(1)
DFT (PBEsol) results for a geometry-optimized RbZr2NbSn structure.

Output
- total magnetization (μB per cell) = 0.00
- SG = P4/mmm (123)
- uncorrected energy (eV per atom) = -4.9358
- formation energy from the elements (eV per atom) = 1.921

Cell and atoms, written as extended XYZ:
```
5
Lattice="4.923 0.000 0.000 0.000 4.923 0.000 0.000 0.000 4.759" Properties=species:S:1:pos:R:3 pbc="T T T"
Rb 0.000 0.000 0.000
Zr 0.000 2.462 0.000
Zr 2.462 0.000 0.000
Nb 0.000 0.000 2.380
Sn 2.462 2.462 2.380
```


(2)
DFT (PBEsol) results for a geometry-optimized RbSrNb3 structure.

Output
- total magnetization (μB per cell) = 0.96
- SG = Pm-3m (221)
- uncorrected energy (eV per atom) = -4.3287
- formation energy from the elements (eV per atom) = 2.737

Cell and atoms, written as extended XYZ:
```
5
Lattice="5.139 0.000 0.000 0.000 5.139 0.000 0.000 0.000 5.139" Properties=species:S:1:pos:R:3 pbc="T T T"
Rb 0.000 0.000 0.000
Sr 2.569 2.569 2.569
Nb 0.000 2.569 2.569
Nb 2.569 0.000 2.569
Nb 2.569 2.569 0.000
```


(3)
DFT (PBEsol) results for a geometry-optimized RbSr3Nb structure.

Output
- total magnetization (μB per cell) = 1.86
- SG = Pm-3m (221)
- uncorrected energy (eV per atom) = -1.7923
- formation energy from the elements (eV per atom) = 1.681

Cell and atoms, written as extended XYZ:
```
5
Lattice="5.963 0.000 0.000 0.000 5.963 0.000 0.000 0.000 5.963" Properties=species:S:1:pos:R:3 pbc="T T T"
Rb 0.000 0.000 0.000
Sr 0.000 0.000 2.982
Sr 0.000 2.982 0.000
Sr 2.982 0.000 0.000
Nb 2.982 2.982 2.982
```


(4)
DFT (PBEsol) results for a geometry-optimized RbTaNb2W structure.

Output
- total magnetization (μB per cell) = 0.42
- SG = P4/mmm (123)
- uncorrected energy (eV per atom) = -7.8205
- formation energy from the elements (eV per atom) = 1.985

Cell and atoms, written as extended XYZ:
```
5
Lattice="5.043 0.000 0.000 0.000 5.043 0.000 0.000 0.000 4.897" Properties=species:S:1:pos:R:3 pbc="T T T"
Rb 0.000 0.000 0.000
Ta 2.522 2.522 2.449
Nb 0.000 2.522 2.449
Nb 2.522 0.000 2.449
W 2.522 2.522 0.000
```


(5)
DFT (PBEsol) results for a geometry-optimized RbNb2Te2 structure.

Output
- total magnetization (μB per cell) = 0.00
- SG = I4/mmm (139)
- uncorrected energy (eV per atom) = -6.4653

Cell and atoms, written as extended XYZ:
```
10
Lattice="4.042 0.000 0.000 0.000 4.042 0.000 0.000 0.000 16.748" Properties=species:S:1:pos:R:3 pbc="T T T"
Rb 0.000 0.000 0.000
Rb 2.021 2.021 8.374
Nb 0.000 2.021 4.187
Nb 0.000 2.021 12.561
Nb 2.021 0.000 4.187
Nb 2.021 0.000 12.561
Te 0.000 0.000 6.152
Te 0.000 0.000 10.596
Te 2.021 2.021 2.222
Te 2.021 2.021 14.526
```


(6)
DFT (PBEsol) results for a geometry-optimized Rb2TiNb structure.

Output
- total magnetization (μB per cell) = 30.21
- SG = Fm-3m (225)
- uncorrected energy (eV per atom) = -3.1709
- formation energy from the elements (eV per atom) = 2.128

Cell and atoms, written as extended XYZ:
```
16
Lattice="8.453 0.000 0.000 0.000 8.453 0.000 0.000 0.000 8.453" Properties=species:S:1:pos:R:3 pbc="T T T"
Rb 2.113 2.113 2.113
Rb 2.113 2.113 6.340
Rb 2.113 6.340 2.113
Rb 2.113 6.340 6.340
Rb 6.340 2.113 2.113
Rb 6.340 2.113 6.340
Rb 6.340 6.340 2.113
Rb 6.340 6.340 6.340
Ti 0.000 0.000 0.000
Ti 0.000 4.227 4.227
Ti 4.227 0.000 4.227
Ti 4.227 4.227 0.000
Nb 0.000 0.000 4.227
Nb 0.000 4.227 0.000
Nb 4.227 0.000 0.000
Nb 4.227 4.227 4.227
```